Compound: Tm5Tl4O
Source: the Alexandria database
Functional: PBE
Structure: relaxed Values from VASP.

Values from the calculation:
Its spin magnetization is 0.00 μB/cell. The calculation puts the density of states at the Fermi level at 7.6 states/eV/cell. For the uncorrected formation energy, the calculation gives -631 meV per atom. As for the space group: I4 (79). Its total energy is -4.3087 eV/atom. The crystal system is tetragonal.

Geometry as Quantum ESPRESSO input:
```
&SYSTEM
  ibrav = 0, nat = 10, ntyp = 3
/
ATOMIC_SPECIES
Tm 168.93 Tm.upf
Tl 204.38 Tl.upf
O 16.00 O.upf
CELL_PARAMETERS angstrom
-1.7334 4.6969 -3.0005
-1.8522 -1.4094 -6.8135
-7.0741 1.2771 0.4088
ATOMIC_POSITIONS crystal
Tm 0.8753 0.3456 0.9004
Tm 0.2209 0.9004 0.6544
Tm 0.7757 0.0996 0.3456
Tm 0.1213 0.6544 0.0996
Tm 0.4563 0.0000 0.0000
Tl 0.4497 0.3859 0.7141
Tl 0.8356 0.7141 0.6141
Tl 0.1638 0.2859 0.3859
Tl 0.5497 0.6141 0.2859
O 0.0620 0.0000 0.0000
```